1.
Density functional theory data (PBE) for a geometry-optimized Hf7Fe2N2 structure.

extended XYZ file:
```
11
Lattice="-3.439 -4.907 0.733 5.243 -0.454 3.134 -0.998 4.594 3.718" Properties=species:S:1:pos:R:3 pbc="T T T"
Hf -1.100 -0.209 3.248
Hf 0.000 0.000 0.000
Hf 0.648 2.121 2.864
Hf 1.508 1.887 6.091
Hf -0.702 -2.654 1.494
Hf 0.158 -2.888 4.721
Hf 1.906 -0.558 4.337
N -1.526 2.265 3.061
N 2.332 -3.032 4.524
Fe -0.697 -0.395 5.612
Fe 1.503 -0.372 1.973
```

Properties
E = -0.726 Ry per atom
DOS(E_F) = 8.621 states/eV/cell
Density = 12.56 g/cm3
Uncorrected formation energy = -0.488 eV per atom

2.
Density functional theory data (PBE) for a geometry-optimized Hf6FeN3 structure.

extended XYZ file:
```
20
Lattice="-0.938 1.417 -2.714 -1.829 -10.277 -4.734 -6.753 5.048 4.971" Properties=species:S:1:pos:R:3 pbc="T T T"
Fe -5.984 3.554 1.091
Fe -3.536 -7.365 -3.569
N -5.016 -4.053 -3.216
N -1.644 0.113 -2.206
N -1.937 -3.978 -2.352
N -7.876 -3.925 -0.271
N -7.583 0.167 -0.125
N -4.504 0.241 0.738
Hf -4.266 2.263 -0.177
Hf -7.618 -1.933 0.680
Hf -2.621 -0.516 -0.308
Hf -3.927 -3.324 -1.323
Hf -6.899 -3.296 -2.170
Hf -3.086 -8.179 -6.038
Hf -6.434 4.368 3.561
Hf -5.593 -0.487 -1.155
Hf -1.902 -1.879 -3.157
Hf -3.046 -4.610 -4.188
Hf -6.474 0.799 1.710
Hf -5.254 -6.075 -2.301
```

Properties
E = -0.765 Ry per atom
DOS(E_F) = 10.767 states/eV/cell
Density = 13.07 g/cm3
Uncorrected formation energy = -1.093 eV per atom

3.
Density functional theory data (PBE) for a geometry-optimized HfFeN3 structure.

extended XYZ file:
```
5
Lattice="4.115 0.000 0.000 0.000 4.115 0.000 0.000 0.000 4.115" Properties=species:S:1:pos:R:3 pbc="T T T"
N 0.000 2.057 0.000
N 0.000 0.000 2.057
N 2.057 0.000 0.000
Hf 0.000 0.000 0.000
Fe 2.057 2.057 2.057
```

Properties
E = -0.569 Ry per atom
DOS(E_F) = 8.136 states/eV/cell
Density = 6.59 g/cm3
Uncorrected formation energy = 0.931 eV per atom